Entry P
La2Nd4Sm5 | PBE | relaxed

Symmetry: No. 71
Spin magnetization, μB/f.u.: 0.00
Fermi-level density of states, states/eV per cell: 16.0

The structure in POSCAR format:
```
La2Nd4Sm5
1.0
3.569 0.000 0.000
0.000 9.402 0.000
-1.785 -4.701 11.833
La Nd Sm
2 4 5
Direct
0.268 0.268 0.537
0.732 0.732 0.463
0.000 0.301 0.000
0.597 0.597 0.195
0.000 0.699 0.000
0.403 0.403 0.805
0.857 0.050 0.715
0.857 0.665 0.715
0.143 0.335 0.285
0.143 0.950 0.285
0.500 0.000 0.000
```

Entry Q
La2Nd4Sm5 | PBE | relaxed

Symmetry: No. 12
Spin magnetization, μB/f.u.: 0.00
Fermi-level density of states, states/eV per cell: 20.5

The structure in POSCAR format:
```
La2Nd4Sm5
1.0
5.834 0.000 -1.423
-0.355 6.244 -1.454
-0.542 1.218 10.447
La Nd Sm
2 4 5
Direct
0.400 0.466 0.801
0.600 0.534 0.199
0.305 0.928 0.609
0.958 0.718 0.917
0.695 0.072 0.391
0.042 0.282 0.083
0.785 0.608 0.570
0.215 0.392 0.430
0.873 0.153 0.747
0.500 0.000 0.000
0.127 0.847 0.253
```

Most stable pick: entry Q. Distance to second place: 110 meV per atom.

Entry P
La3Nd3Sm5 | PBE | relaxed

Symmetry: No. 189
Spin magnetization, μB/f.u.: 0.00
Fermi-level density of states, states/eV per cell: 19.4

The structure in POSCAR format:
```
La3Nd3Sm5
1.0
5.689 0.000 0.000
0.000 8.470 -4.890
0.000 0.000 9.780
La Nd Sm
3 3 5
Direct
0.000 0.592 0.000
0.000 0.000 0.592
0.000 0.408 0.408
0.500 0.729 0.000
0.500 0.271 0.271
0.500 0.000 0.729
0.500 0.667 0.333
0.500 0.333 0.667
0.500 0.366 0.000
0.500 0.634 0.634
0.500 0.000 0.366
```

Entry Q
La3Nd3Sm5 | PBE | relaxed

Symmetry: No. 189
Spin magnetization, μB/f.u.: 0.00
Fermi-level density of states, states/eV per cell: 18.0

The structure in POSCAR format:
```
La3Nd3Sm5
1.0
-0.904 1.578 5.226
5.574 -7.317 3.174
3.981 8.667 -1.929
La Nd Sm
3 3 5
Direct
0.500 0.637 0.637
0.500 0.000 0.363
0.500 0.363 0.000
0.000 0.495 0.495
0.000 0.505 0.000
0.000 0.000 0.505
0.500 0.333 0.667
0.500 0.667 0.333
0.500 0.270 0.270
0.500 0.000 0.730
0.500 0.730 0.000
```

Most stable pick: entry P. Distance to second place: 17 meV per atom.

Entry P
La5Nd2Sm2 | PBE | relaxed

Symmetry: No. 46
Spin magnetization, μB/f.u.: 0.00
Fermi-level density of states, states/eV per cell: 25.0

The structure in POSCAR format:
```
La5Nd2Sm2
1.0
-5.095 4.827 9.687
0.696 -6.104 3.408
9.024 2.815 -4.043
La Nd Sm
10 4 4
Direct
0.179 0.665 0.896
0.821 0.769 0.104
0.217 0.165 0.896
0.783 0.269 0.104
0.372 0.020 0.288
0.628 0.732 0.712
0.416 0.520 0.288
0.584 0.232 0.712
0.996 0.646 0.500
0.004 0.146 0.500
0.135 0.674 0.259
0.865 0.415 0.741
0.624 0.174 0.259
0.376 0.915 0.741
0.000 0.069 0.000
0.500 0.569 0.000
0.255 0.346 0.500
0.745 0.846 0.500
```

Entry Q
La5Nd2Sm2 | PBE | relaxed

Symmetry: No. 12
Spin magnetization, μB/f.u.: 0.00
Fermi-level density of states, states/eV per cell: 20.2

The structure in POSCAR format:
```
La5Nd2Sm2
1.0
6.178 0.000 0.000
-3.089 2.881 -1.117
0.000 3.201 16.869
La Nd Sm
5 2 2
Direct
0.554 0.107 0.109
0.446 0.893 0.891
0.781 0.562 0.560
0.219 0.438 0.440
0.000 0.000 0.000
0.888 0.776 0.775
0.112 0.224 0.225
0.335 0.670 0.669
0.665 0.330 0.331
```

Most stable pick: entry Q. Distance to second place: 66 meV per atom.

Entry P
La2NdSm | PBE | relaxed

Symmetry: No. 13
Spin magnetization, μB/f.u.: 0.00
Fermi-level density of states, states/eV per cell: 23.6

The structure in POSCAR format:
```
La2NdSm
1.0
-4.582 0.289 -4.369
-2.720 -6.613 2.415
-5.708 9.051 6.586
La Nd Sm
8 4 4
Direct
0.334 0.693 0.877
0.666 0.307 0.123
0.334 0.307 0.623
0.666 0.693 0.377
0.165 0.565 0.122
0.835 0.435 0.878
0.165 0.435 0.378
0.835 0.565 0.622
0.664 0.185 0.382
0.336 0.815 0.618
0.664 0.815 0.118
0.336 0.185 0.882
0.836 0.056 0.620
0.164 0.944 0.380
0.836 0.944 0.880
0.164 0.056 0.120
```

Entry Q
La2NdSm | PBE | relaxed

Symmetry: No. 65
Spin magnetization, μB/f.u.: 0.00
Fermi-level density of states, states/eV per cell: 7.7

The structure in POSCAR format:
```
La2NdSm
1.0
3.717 0.000 0.000
0.000 6.343 -0.614
0.000 -1.439 6.208
La Nd Sm
2 1 1
Direct
0.000 0.500 0.000
0.000 0.000 0.500
0.500 0.000 0.000
0.500 0.500 0.500
```

Entry R
La2NdSm | PBE | relaxed

Symmetry: No. 123
Spin magnetization, μB/f.u.: 0.00
Fermi-level density of states, states/eV per cell: 6.7

The structure in POSCAR format:
```
La2NdSm
1.0
5.178 0.000 0.000
0.000 5.240 0.000
0.000 0.000 5.240
Nd Sm La
1 1 2
Direct
0.500 0.500 0.500
0.500 0.000 0.000
0.000 0.000 0.500
0.000 0.500 0.000
```

Entry S
La2NdSm | PBE | relaxed

Symmetry: No. 225
Spin magnetization, μB/f.u.: 0.01
Fermi-level density of states, states/eV per cell: 10.3

The structure in POSCAR format:
```
La2NdSm
1.0
-4.269 -2.641 -3.086
1.317 -2.930 -4.940
-0.344 -5.881 -0.117
Nd Sm La
1 1 2
Direct
0.500 0.500 0.500
0.000 0.000 0.000
0.250 0.250 0.250
0.750 0.750 0.750
```

Most stable pick: entry R. Distance to second place: 6 meV per atom.

Entry P
La8NdSm2 | PBE | relaxed

Symmetry: No. 12
Spin magnetization, μB/f.u.: 0.00
Fermi-level density of states, states/eV per cell: 17.6

The structure in POSCAR format:
```
La8NdSm2
1.0
-3.369 4.165 2.352
5.028 -1.819 9.015
8.536 3.181 5.185
La Nd Sm
8 1 2
Direct
0.267 0.141 0.598
0.267 0.598 0.141
0.733 0.859 0.402
0.236 0.544 0.544
0.733 0.402 0.859
0.233 0.186 0.186
0.767 0.814 0.814
0.764 0.456 0.456
0.000 0.000 0.000
0.742 0.283 0.283
0.258 0.717 0.717
```

Entry Q
La8NdSm2 | PBE | relaxed

Symmetry: No. 12
Spin magnetization, μB/f.u.: 0.00
Fermi-level density of states, states/eV per cell: 20.4

The structure in POSCAR format:
```
La8NdSm2
1.0
5.078 0.000 -1.352
-0.543 8.014 -2.040
-0.111 -0.079 9.793
La Nd Sm
8 1 2
Direct
0.591 0.455 0.183
0.318 0.089 0.636
0.137 0.185 0.275
0.046 0.726 0.093
0.863 0.815 0.725
0.682 0.911 0.364
0.409 0.545 0.817
0.954 0.274 0.907
0.500 0.000 0.000
0.227 0.635 0.453
0.773 0.365 0.547
```

Most stable pick: entry Q. Distance to second place: 122 meV per atom.

Entry P
La6NdSm3 | PBE | relaxed

Symmetry: No. 160
Spin magnetization, μB/f.u.: 0.00
Fermi-level density of states, states/eV per cell: 15.1

The structure in POSCAR format:
```
La6NdSm3
1.0
6.486 0.000 0.000
-2.162 8.128 0.000
-2.162 -4.064 7.039
La Nd Sm
6 1 3
Direct
0.290 0.000 0.503
0.290 0.503 0.000
0.744 0.000 0.365
0.744 0.365 0.000
0.379 0.635 0.635
0.787 0.497 0.497
0.439 0.000 0.000
0.917 0.764 0.000
0.917 0.000 0.764
0.153 0.236 0.236
```

Entry Q
La6NdSm3 | PBE | relaxed

Symmetry: No. 146
Spin magnetization, μB/f.u.: 0.00
Fermi-level density of states, states/eV per cell: 19.0

The structure in POSCAR format:
```
La6NdSm3
1.0
4.127 2.121 9.033
7.527 -5.773 3.625
6.621 1.208 2.400
La Nd Sm
6 1 3
Direct
0.899 0.577 0.298
0.226 0.899 0.298
0.577 0.226 0.298
0.078 0.399 0.798
0.726 0.078 0.798
0.399 0.726 0.798
0.898 0.898 0.305
0.398 0.398 0.805
0.648 0.648 0.055
0.151 0.151 0.548
```

Most stable pick: entry Q. Distance to second place: 45 meV per atom.

Entry P
La3NdSm7 | PBE | relaxed

Symmetry: No. 71
Spin magnetization, μB/f.u.: 0.00
Fermi-level density of states, states/eV per cell: 17.2

The structure in POSCAR format:
```
La3NdSm7
1.0
-1.599 -3.833 -4.324
-1.410 -3.491 7.777
-6.692 5.003 2.201
La Nd Sm
3 1 7
Direct
0.000 0.788 0.212
0.500 0.000 0.000
0.000 0.212 0.788
0.500 0.500 0.500
0.206 0.207 0.207
0.296 0.995 0.597
0.704 0.403 0.005
0.296 0.597 0.995
0.000 0.500 0.500
0.704 0.005 0.403
0.794 0.793 0.793
```

Entry Q
La3NdSm7 | PBE | relaxed

Symmetry: No. 12
Spin magnetization, μB/f.u.: 0.00
Fermi-level density of states, states/eV per cell: 16.1

The structure in POSCAR format:
```
La3NdSm7
1.0
6.501 0.011 0.430
0.421 7.764 1.109
-0.012 0.047 7.854
La Nd Sm
3 1 7
Direct
0.000 0.824 0.176
0.500 0.000 0.000
0.000 0.176 0.824
0.500 0.500 0.500
0.790 0.238 0.238
0.739 0.915 0.571
0.261 0.429 0.085
0.739 0.571 0.915
0.000 0.500 0.500
0.261 0.085 0.429
0.210 0.762 0.762
```

Most stable pick: entry Q. Distance to second place: 23 meV per atom.

Entry P
La2Nd3Sm5 | PBE | relaxed

Symmetry: No. 15
Spin magnetization, μB/f.u.: 0.00
Fermi-level density of states, states/eV per cell: 29.4

The structure in POSCAR format:
```
La2Nd3Sm5
1.0
6.674 -1.181 -1.011
1.775 9.904 -2.510
1.776 -0.952 10.173
La Nd Sm
4 6 10
Direct
0.124 0.625 0.125
0.624 0.125 0.625
0.876 0.375 0.875
0.376 0.875 0.375
0.375 0.474 0.776
0.875 0.776 0.474
0.625 0.526 0.224
0.125 0.224 0.526
0.250 0.963 0.037
0.750 0.037 0.963
0.375 0.276 0.975
0.875 0.975 0.276
0.625 0.724 0.025
0.125 0.025 0.724
0.500 0.787 0.712
0.500 0.213 0.288
0.750 0.463 0.537
0.250 0.537 0.463
0.000 0.288 0.213
0.000 0.712 0.787
```

Entry Q
La2Nd3Sm5 | PBE | relaxed

Symmetry: No. 15
Spin magnetization, μB/f.u.: 0.00
Fermi-level density of states, states/eV per cell: 31.0

The structure in POSCAR format:
```
La2Nd3Sm5
1.0
-2.891 -1.360 8.671
-2.252 -7.533 -4.868
10.162 0.901 0.073
La Nd Sm
4 6 10
Direct
0.977 0.022 0.748
0.023 0.978 0.252
0.271 0.726 0.748
0.729 0.274 0.252
0.276 0.026 0.052
0.724 0.974 0.948
0.519 0.483 0.251
0.481 0.517 0.749
0.232 0.768 0.251
0.768 0.232 0.749
0.222 0.472 0.944
0.778 0.528 0.056
0.972 0.722 0.444
0.471 0.221 0.442
0.028 0.278 0.556
0.529 0.779 0.558
0.870 0.621 0.744
0.130 0.379 0.256
0.374 0.123 0.744
0.626 0.877 0.256
```

Most stable pick: entry P. Distance to second place: 132 meV per atom.

Entry P
La4NdSm | PBE | relaxed

Symmetry: No. 47
Spin magnetization, μB/f.u.: 0.00
Fermi-level density of states, states/eV per cell: 11.8

The structure in POSCAR format:
```
La4NdSm
1.0
-0.710 -3.154 -1.795
4.871 0.042 -2.000
-1.232 -5.835 10.737
La Nd Sm
4 1 1
Direct
0.500 0.330 0.830
0.500 0.670 0.170
0.000 0.332 0.332
0.000 0.668 0.668
0.000 0.000 0.000
0.500 0.000 0.500
```

Entry Q
La4NdSm | PBE | relaxed

Symmetry: No. 12
Spin magnetization, μB/f.u.: 0.00
Fermi-level density of states, states/eV per cell: 10.0

The structure in POSCAR format:
```
La4NdSm
1.0
-2.857 1.183 -1.868
6.736 -0.354 -3.491
-3.721 -8.799 0.093
La Nd Sm
4 1 1
Direct
0.791 0.087 0.172
0.882 0.585 0.172
0.118 0.415 0.828
0.209 0.913 0.828
0.000 0.000 0.500
0.500 0.500 0.500
```

Most stable pick: entry P. Distance to second place: 122 meV per atom.